The following is a DFT calculation (GGA-PBEsol) of Cr2SbIr after structural relaxation.

Values from the calculation:
Density of states at the Fermi level = 4.99 states/eV/cell
Size of the total moment = 5.045 μB/f.u.
Raw total energy = -34.0 eV for the cell shown
Raw formation energy = 0.204 eV/atom

Cell lengths 3.9006, 3.9006, 3.8877 Å; angles 90.00, 90.00, 90.00 degrees
With the nearest neighbours (Å) after each atom.
Space group P4/mmm (No. 123)
Asymmetric unit:
Cr (0.0000, 0.5000, 0.0000)  4 Sb 2.75, 4 Ir 2.75, 4 Cr 2.76
Sb (0.0000, 0.0000, 0.5000)  8 Cr 2.75, 4 Ir 2.76
Ir (0.5000, 0.5000, 0.5000)  8 Cr 2.75, 4 Sb 2.76